Sr2CaPdPb: optimized geometry, PBE.

Computed properties:
Fermi-level density of states   0.592 states/eV/atom
E_form   -4.40 kJ per mole of atoms
Excess energy over the best structure of this formula in the dataset   351.8 meV/atom

Unit cell a=6.7021 b=6.7021 c=5.8020 alpha=90.00 beta=90.00 gamma=90.00
Element x y z (fractional)
Sr 0.0000 0.5000 0.0000
Sr 0.5000 0.0000 0.0000
Ca 0.0000 0.0000 0.5000
Pd 0.5000 0.5000 0.0000
Pb 0.5000 0.5000 0.5000

Pr6Ga2Pb: optimized geometry, PBE.

Computed properties:
Fermi-level density of states   0.954 states/eV/atom
E_form   -38.42 kJ per mole of atoms
Excess energy over the best structure of this formula in the dataset   0.0 meV/atom

Unit cell a=9.0423 b=9.0423 c=9.0423 alpha=112.53 beta=112.31 gamma=103.72
Element x y z (fractional)
Pr 0.0322 0.2358 0.7965
Pr 0.1883 0.2844 0.4727
Pr 0.1883 0.7156 0.9040
Pr 0.3211 0.0263 0.7052
Pr 0.3211 0.6158 0.2948
Pr 0.4393 0.2358 0.2035
Pr 0.5607 0.7642 0.7965
Pr 0.6789 0.3842 0.7052
Pr 0.6789 0.9737 0.2948
Pr 0.8117 0.2844 0.0960
Pr 0.8117 0.7156 0.5273
Pr 0.9678 0.7642 0.2035
Ga 0.1181 0.6181 0.5000
Ga 0.3615 0.0000 0.3615
Ga 0.6385 0.0000 0.6385
Ga 0.8819 0.3819 0.5000
Pb 0.0000 0.0000 0.0000
Pb 0.5000 0.5000 0.0000

KBaSr2Ag: optimized geometry, PBE.

Computed properties:
Fermi-level density of states   0.893 states/eV/atom
E_form   1.90 kJ per mole of atoms
Excess energy over the best structure of this formula in the dataset   87.5 meV/atom

Unit cell a=6.3512 b=6.3512 c=6.5848 alpha=90.00 beta=90.00 gamma=90.00
Element x y z (fractional)
K 0.0000 0.0000 0.0000
Ba 0.5000 0.5000 0.0000
Sr 0.0000 0.5000 0.5000
Sr 0.5000 0.0000 0.5000
Ag 0.0000 0.0000 0.5000

LiCa2Ga: optimized geometry, PBE.

Computed properties:
Fermi-level density of states   0.413 states/eV/atom
E_form   3.09 kJ per mole of atoms

Unit cell a=6.8562 b=6.8562 c=6.8562 alpha=104.21 beta=104.21 gamma=120.60
Element x y z (fractional)
Li 0.0000 0.0000 0.0000
Li 0.7500 0.2500 0.5000
Ca 0.1444 0.6250 0.0194
Ca 0.3750 0.3944 0.5194
Ca 0.6056 0.1250 0.9806
Ca 0.8750 0.8556 0.4806
Ga 0.2500 0.7500 0.5000
Ga 0.5000 0.5000 0.0000

HfTiS2: optimized geometry, PBE.

Computed properties:
Fermi-level density of states   1.276 states/eV/atom
Formation energy without anion corrections   -84.22 kJ per mole of atoms
Excess energy over the best structure of this formula in the dataset   452.7 meV/atom

Unit cell a=6.8656 b=6.8656 c=6.8656 alpha=132.36 beta=132.36 gamma=69.66
Element x y z (fractional)
Hf 0.0000 0.0000 0.0000
Hf 0.7500 0.2500 0.5000
Ti 0.2500 0.7500 0.5000
Ti 0.5000 0.5000 0.0000
S 0.1380 0.6250 0.0130
S 0.3750 0.3880 0.5130
S 0.6120 0.1250 0.9870
S 0.8750 0.8620 0.4870

YMnZn2: optimized geometry, PBE.

Computed properties:
Fermi-level density of states   0.671 states/eV/atom
E_form   -1.01 kJ per mole of atoms

Unit cell a=4.1563 b=5.8759 c=5.8759 alpha=32.15 beta=90.00 gamma=90.00
Element x y z (fractional)
Y 0.0000 0.0000 0.0000
Mn 0.5000 0.3215 0.3215
Zn 0.0000 0.7449 0.7449
Zn 0.5000 0.6212 0.6212

SmScHgRh: optimized geometry, PBE.

Computed properties:
Fermi-level density of states   0.565 states/eV/atom
E_form   -52.28 kJ per mole of atoms

Unit cell a=4.9817 b=4.9817 c=4.9817 alpha=60.00 beta=60.00 gamma=60.00
Element x y z (fractional)
Sm 0.0000 0.0000 0.0000
Sc 0.5000 0.5000 0.5000
Hg 0.7500 0.7500 0.7500
Rh 0.2500 0.2500 0.2500

PbI3Cl: optimized geometry, PBE.

Computed properties:
Fermi-level density of states   0.948 states/eV/atom
Formation energy without anion corrections   22.52 kJ per mole of atoms
Excess energy over the best structure of this formula in the dataset   175.4 meV/atom

Unit cell a=5.7860 b=5.7860 c=5.7860 alpha=90.00 beta=90.00 gamma=90.00
Element x y z (fractional)
Pb 0.0000 0.0000 0.0000
I 0.0000 0.5000 0.5000
I 0.5000 0.0000 0.5000
I 0.5000 0.5000 0.0000
Cl 0.5000 0.5000 0.5000

Cr3AgC: optimized geometry, PBE.

Computed properties:
Fermi-level density of states   0.888 states/eV/atom
E_form   31.99 kJ per mole of atoms
Excess energy over the best structure of this formula in the dataset   0.0 meV/atom

Unit cell a=3.9131 b=3.9131 c=3.9131 alpha=90.00 beta=90.00 gamma=90.00
Element x y z (fractional)
Cr 0.0000 0.0000 0.5000
Cr 0.0000 0.5000 0.0000
Cr 0.5000 0.0000 0.0000
Ag 0.5000 0.5000 0.5000
C 0.0000 0.0000 0.0000

Tl2FeSi: optimized geometry, PBE.

Computed properties:
Fermi-level density of states   1.418 states/eV/atom
Formation energy without anion corrections   97.68 kJ per mole of atoms
Excess energy over the best structure of this formula in the dataset   778.8 meV/atom

Unit cell a=4.8316 b=4.8316 c=4.8316 alpha=60.00 beta=60.00 gamma=60.00
Element x y z (fractional)
Tl 0.2500 0.2500 0.2500
Tl 0.7500 0.7500 0.7500
Fe 0.0000 0.0000 0.0000
Si 0.5000 0.5000 0.5000

LiCdAg: optimized geometry, PBE.

Computed properties:
Fermi-level density of states   0.656 states/eV/atom
E_form   -15.90 kJ per mole of atoms
Excess energy over the best structure of this formula in the dataset   46.1 meV/atom

Unit cell a=6.2712 b=6.2712 c=4.3513 alpha=90.00 beta=90.00 gamma=140.95
Element x y z (fractional)
Li 0.2497 0.7503 0.7500
Li 0.7503 0.2497 0.2500
Cd 0.0927 0.9073 0.2500
Cd 0.9073 0.0927 0.7500
Ag 0.4086 0.5914 0.2500
Ag 0.5914 0.4086 0.7500

Hf2NbPb: optimized geometry, PBE.

Computed properties:
Fermi-level density of states   0.583 states/eV/atom
E_form   8.37 kJ per mole of atoms

Unit cell a=9.7893 b=3.2057 c=5.8868 alpha=90.00 beta=102.03 gamma=90.00
Element x y z (fractional)
Hf 0.0000 0.1697 0.0000
Hf 0.0000 0.8303 0.5000
Hf 0.4570 0.1710 0.1620
Hf 0.4570 0.8290 0.6620
Nb 0.2291 0.3853 0.7851
Nb 0.2291 0.6147 0.2851
Pb 0.7285 0.2834 0.5770
Pb 0.7285 0.7166 0.0770